A) # SmHoAu (PBE-GGA, optimized geometry)
# total magnetic moment = 0.00 μB/cell
data_SmHoAu
_chemical_formula_sum 'Sm6 Ho6 Au6'
_symmetry_space_group_name_H-M 'P 1 21/m 1'
_symmetry_Int_Tables_number 11
_symmetry_space_group_name_Hall '-P 2yb'
_cell_length_a 7.3589
_cell_length_b 4.9474
_cell_length_c 13.5531
_cell_angle_alpha 90.00
_cell_angle_beta 92.66
_cell_angle_gamma 90.00
loop_
_atom_site_label
_atom_site_type_symbol
_atom_site_fract_x
_atom_site_fract_y
_atom_site_fract_z
Sm1 Sm 0.0035 0.2500 0.2840
Sm2 Sm 0.3839 0.2500 0.0812
Sm3 Sm 0.4817 0.2500 0.3762
Ho1 Ho 0.0404 0.7500 0.0871
Ho2 Ho 0.1392 0.7500 0.4546
Ho3 Ho 0.3391 0.2500 0.7816
Au1 Au 0.2179 0.7500 0.9029
Au2 Au 0.2557 0.2500 0.5647
Au3 Au 0.2812 0.7500 0.2573



B) # SmHoAu (PBE-GGA, optimized geometry)
# total magnetic moment = 0.00 μB/cell
data_SmHoAu
_chemical_formula_sum 'Sm4 Ho4 Au4'
_symmetry_space_group_name_H-M 'P n m a'
_symmetry_Int_Tables_number 62
_symmetry_space_group_name_Hall '-P 2ac 2n'
_cell_length_a 7.2239
_cell_length_b 4.9948
_cell_length_c 8.9797
_cell_angle_alpha 90.00
_cell_angle_beta 90.00
_cell_angle_gamma 90.00
loop_
_atom_site_label
_atom_site_type_symbol
_atom_site_fract_x
_atom_site_fract_y
_atom_site_fract_z
Sm1 Sm 0.0123 0.2500 0.1771
Ho1 Ho 0.1490 0.2500 0.5812
Au1 Au 0.2497 0.2500 0.9018



Most stable one: B), least stable one: A).



A) # SmHoAu (PBE-GGA, optimized geometry)
# total magnetic moment = 0.00 μB/cell
data_SmHoAu
_chemical_formula_sum 'Sm1 Ho1 Au1'
_symmetry_space_group_name_H-M 'P 3 m 1'
_symmetry_Int_Tables_number 156
_symmetry_space_group_name_Hall 'P 3 -2"'
_cell_length_a 4.9184
_cell_length_b 4.9184
_cell_length_c 3.8984
_cell_angle_alpha 90.00
_cell_angle_beta 90.00
_cell_angle_gamma 120.00
loop_
_atom_site_label
_atom_site_type_symbol
_atom_site_fract_x
_atom_site_fract_y
_atom_site_fract_z
Sm1 Sm 0.0000 0.0000 0.0000
Ho1 Ho 0.3333 0.6667 0.5296
Au1 Au 0.6667 0.3333 0.3157



B) # SmHoAu (PBE-GGA, optimized geometry)
# total magnetic moment = 0.00 μB/cell
data_SmHoAu
_chemical_formula_sum 'Sm2 Ho2 Au2'
_symmetry_space_group_name_H-M 'P 4/n m m'
_symmetry_Int_Tables_number 129
_cell_length_a 4.8121
_cell_length_b 4.8121
_cell_length_c 7.3124
_cell_angle_alpha 90.00
_cell_angle_beta 90.00
_cell_angle_gamma 90.00
loop_
_symmetry_equiv_pos_as_xyz
'x,y,z'
'-x,-y,-z'
'-y+1/2,x,z'
'y+1/2,-x,-z'
'-x+1/2,-y+1/2,z'
'x+1/2,y+1/2,-z'
'y,-x+1/2,z'
'-y,x+1/2,-z'
'x+1/2,-y,-z'
'-x+1/2,y,z'
'-y,-x,-z'
'y,x,z'
'-x,y+1/2,-z'
'x,-y+1/2,z'
'y+1/2,x+1/2,-z'
'-y+1/2,-x+1/2,z'
loop_
_atom_site_label
_atom_site_type_symbol
_atom_site_fract_x
_atom_site_fract_y
_atom_site_fract_z
Sm1 Sm 0.2500 0.2500 0.1234
Ho1 Ho 0.2500 0.7500 0.5000
Au1 Au 0.2500 0.2500 0.7308



Most stable one: B), least stable one: A).



A) # SmHoTlAu (PBE-GGA, optimized geometry)
# total magnetic moment = 0.00 μB/cell
data_SmHoTlAu
_chemical_formula_sum 'Sm1 Ho1 Tl1 Au1'
_symmetry_space_group_name_H-M 'P 4 m m'
_symmetry_Int_Tables_number 99
_symmetry_space_group_name_Hall 'P 4 -2'
_cell_length_a 3.6487
_cell_length_b 3.6487
_cell_length_c 7.7925
_cell_angle_alpha 90.00
_cell_angle_beta 90.00
_cell_angle_gamma 90.00
loop_
_atom_site_label
_atom_site_type_symbol
_atom_site_fract_x
_atom_site_fract_y
_atom_site_fract_z
Sm1 Sm 0.0000 0.0000 0.0000
Ho1 Ho 0.0000 0.0000 0.4598
Tl1 Tl 0.5000 0.5000 0.7257
Au1 Au 0.5000 0.5000 0.2538



B) # SmHoTlAu (PBE-GGA, optimized geometry)
# total magnetic moment = 0.01 μB/cell
data_SmHoTlAu
_chemical_formula_sum 'Sm4 Ho4 Tl4 Au4'
_symmetry_space_group_name_H-M 'F -4 3 m'
_symmetry_Int_Tables_number 216
_symmetry_space_group_name_Hall 'F -4 2 3'
_cell_length_a 7.4734
_cell_length_b 7.4734
_cell_length_c 7.4734
_cell_angle_alpha 90.00
_cell_angle_beta 90.00
_cell_angle_gamma 90.00
loop_
_atom_site_label
_atom_site_type_symbol
_atom_site_fract_x
_atom_site_fract_y
_atom_site_fract_z
Sm1 Sm 0.0000 0.0000 0.0000
Ho1 Ho 0.0000 0.0000 0.5000
Tl1 Tl 0.2500 0.2500 0.2500
Au1 Au 0.2500 0.2500 0.7500



Most stable one: A), least stable one: B).